# Ba3Mn4PtO12 (GGA+U, optimized geometry)
data_Ba3Mn4PtO12
_chemical_formula_sum 'Ba3 Mn4 Pt1 O12'
_cell_length_a 5.147
_cell_length_b 5.857
_cell_length_c 10.449
_cell_angle_alpha 90.00
_cell_angle_beta 92.49
_cell_angle_gamma 90.00
_space_group_name_H-M_alt 'P 1'
_space_group_IT_number 1
loop_
_space_group_symop_operation_xyz
'x,y,z'
loop_
_atom_site_label
_atom_site_fract_x
_atom_site_fract_y
_atom_site_fract_z
Ba1 0.000 0.000 0.000
Ba2 0.090 0.500 0.489
Ba3 0.514 0.500 0.163
Mn1 0.128 0.500 0.844
Mn2 0.182 0.000 0.320
Mn3 0.609 0.500 0.839
Mn4 0.673 0.000 0.325
Pt1 0.869 0.000 0.657
O1 0.351 0.500 0.705
O2 0.371 0.289 0.920
O3 0.371 0.711 0.920
O4 0.414 0.000 0.179
O5 0.428 0.222 0.385
O6 0.428 0.778 0.385
O7 0.863 0.275 0.768
O8 0.863 0.725 0.768
O9 0.876 0.500 0.977
O10 0.919 0.217 0.260
O11 0.919 0.783 0.260
O12 0.931 0.000 0.473
# DOS at the Fermi energy, states/eV per cell: 1.1
# Volume, Å³ per cell: 315
# Calculated total energy, eV/atom: -6.68